(1)
Computed, not measured: crystalline TlPt at its relaxed geometry at the PBE level of DFT.

a = 6.5509 Å, b = 6.5509 Å, c = 3.9939 Å
α = 90.00°, β = 90.00°, γ = 120.00°
Last column: nearest neighbours and their distance in Å.
Atoms (fractional coordinates):
Tl (0.0000, 0.5000, 0.0000)  4 Pt 2.75
Tl (0.5000, 0.5000, 0.0000)  4 Pt 2.75
Tl (0.5000, 0.0000, 0.0000)  4 Pt 2.75
Pt (0.0000, 0.0000, 0.0000)  6 Tl 3.28
Pt (0.6667, 0.3333, 0.5000)  6 Tl 2.75
Pt (0.3333, 0.6667, 0.5000)  6 Tl 2.75

The value obtained for the energy relative to the elements is 0.502 eV per atom. Its mass density is 13.41 g/cm³. The energy is -22.212 eV for the cell shown.

(2)
Computed, not measured: crystalline Tl12Pt at its relaxed geometry at the PBE level of DFT.

a = 7.9279 Å, b = 7.9279 Å, c = 7.9279 Å
α = 109.47°, β = 109.47°, γ = 109.47°
Last column: nearest neighbours and their distance in Å.
Atoms (fractional coordinates):
Tl (0.6954, 0.5163, 0.8208)  1 Pt 3.23, 10 Tl 3.28-3.58
Tl (0.6954, 0.8746, 0.1792)  1 Pt 3.23, 10 Tl 3.28-3.58
Tl (0.3046, 0.1254, 0.8208)  1 Pt 3.23, 10 Tl 3.28-3.58
Tl (0.3046, 0.4837, 0.1792)  1 Pt 3.23, 10 Tl 3.28-3.58
Tl (0.5163, 0.8208, 0.6954)  1 Pt 3.23, 10 Tl 3.28-3.58
Tl (0.8746, 0.1792, 0.6954)  1 Pt 3.23, 10 Tl 3.28-3.58
Tl (0.1254, 0.8208, 0.3046)  1 Pt 3.23, 10 Tl 3.28-3.58
Tl (0.4837, 0.1792, 0.3046)  1 Pt 3.23, 10 Tl 3.28-3.58
Tl (0.8208, 0.6954, 0.5163)  1 Pt 3.23, 10 Tl 3.28-3.58
Tl (0.1792, 0.6954, 0.8746)  1 Pt 3.23, 10 Tl 3.28-3.58
Tl (0.8208, 0.3046, 0.1254)  1 Pt 3.23, 10 Tl 3.28-3.58
Tl (0.1792, 0.3046, 0.4837)  1 Pt 3.23, 10 Tl 3.28-3.58
Pt (0.0000, 0.0000, 0.0000)  12 Tl 3.23

The value obtained for the energy relative to the elements is 0.049 eV per atom. Its mass density is 11.46 g/cm³. The energy is -33.802 eV for the cell shown.

(3)
Computed, not measured: crystalline TlPt3 at its relaxed geometry at the PBE level of DFT.

a = 4.7356 Å, b = 4.9699 Å, c = 5.8914 Å
α = 90.00°, β = 90.00°, γ = 90.00°
Last column: nearest neighbours and their distance in Å.
Atoms (fractional coordinates):
Tl (0.0000, 0.6711, 0.0000)  12 Pt 2.85-3.01
Tl (0.5000, 0.3289, 0.5000)  12 Pt 2.85-3.01
Pt (0.5000, 0.2970, 0.0000)  8 Pt 2.79-3.01, 4 Tl 2.95-3.01
Pt (0.0000, 0.7030, 0.5000)  8 Pt 2.79-3.01, 4 Tl 2.95-3.01
Pt (0.0000, 0.1766, 0.2465)  8 Pt 2.79-3.01, 4 Tl 2.85-2.90
Pt (0.0000, 0.1766, 0.7535)  8 Pt 2.79-3.01, 4 Tl 2.85-2.90
Pt (0.5000, 0.8234, 0.7465)  8 Pt 2.79-3.01, 4 Tl 2.85-2.90
Pt (0.5000, 0.8234, 0.2535)  8 Pt 2.79-3.01, 4 Tl 2.85-2.90

The value obtained for the energy relative to the elements is 0.028 eV per atom. Its mass density is 18.91 g/cm³. The energy is -40.754 eV for the cell shown.